A relaxed EuPuBiSb crystal, computed with PBE-GGA.

It has space group F-43m (No. 216), with a = 7.842 Å, b = 7.842 Å, c = 7.842 Å, α = 90.00°, β = 90.00° and γ = 90.00°. The distinct sites, in fractional coordinates, are Eu at (0.000, 0.000, 0.000), Pu at (0.000, 0.000, 0.500), Bi at (0.250, 0.250, 0.250) and Sb at (0.250, 0.250, 0.750).

The calculation puts the uncorrected formation energy at -0.550 eV/atom. The value obtained for the total moment is 1.51 μB per formula unit.